No. 1
DFT (GGA-PBE) results for crystalline MgAu at its relaxed geometry.

Cell lengths 4.8433, 14.6258, 5.0868 Å; angles 90.00, 90.00, 90.00 degrees
Last column: nearest neighbours and their distance in Å.
Space group Amm2 (No. 38)
One atom of each set of equivalent atoms:
1 Mg 0.0000 0.0000 0.0000 x2  2 Mg 2.88, 10 Au 2.96-3.05
2 Mg 0.0000 0.1967 0.9841 x4  5 Au 2.81-2.87, 7 Mg 2.88-3.09
3 Mg 0.5000 0.1879 0.3591 x4  6 Au 2.75-2.95, 2 Mg 3.02
4 Au 0.0000 0.1091 0.4898 x4  7 Mg 2.76-3.05, 4 Au 2.99-3.07
5 Au 0.5000 0.0000 0.3503 x2  4 Mg 2.75-3.01, 8 Au 2.97-3.05
6 Au 0.5000 0.1101 0.8593 x4  7 Mg 2.79-3.00, 4 Au 2.97-3.07

## Properties
Its total energy is -2.8615 eV/atom. The density is 10.20 g cm⁻³.

---

No. 2
DFT (GGA-PBE) results for crystalline Er5Si3C at its relaxed geometry.

Cell lengths 8.3667, 8.3667, 6.3293 Å; angles 90.00, 90.00, 120.00 degrees
Last column: nearest neighbours and their distance in Å.
Space group P6_3/mcm (No. 193)
One atom of each set of equivalent atoms:
1 Er 0.0000 0.2229 0.2500 x6  2 C 2.45
2 Er 0.3333 0.6667 0.0000 x4  6 Si 2.99, 2 Er 3.16
3 Si 0.0000 0.4092 0.7500 x6  7 Er 2.97-3.08
4 C 0.0000 0.0000 0.0000 x2  6 Er 2.45

## Properties
Its total energy is -6.0014 eV/atom. The density is 8.07 g cm⁻³.

---

No. 3
DFT (GGA-PBE) results for crystalline Hf4FeAsC2 at its relaxed geometry.

Cell lengths 3.3181, 3.3181, 12.9601 Å; angles 90.00, 90.00, 120.00 degrees
Last column: nearest neighbours and their distance in Å.
Space group P-6m2 (No. 187)
One atom of each set of equivalent atoms:
1 Hf 0.0000 0.0000 0.1486 x2  3 C 2.36
2 Hf 0.3333 0.6667 0.3478 x2  3 C 2.27
3 Fe 0.3333 0.6667 0.0000 x1  6 Hf 2.72
4 As 0.0000 0.0000 0.5000 x1  6 Hf 2.75
5 C 0.6667 0.3333 0.2544 x2  6 Hf 2.27-2.36

## Properties
Its total energy is -9.5544 eV/atom. The density is 11.67 g cm⁻³.

---

No. 4
DFT (GGA-PBE) results for crystalline Pu3Br2 at its relaxed geometry.

Cell lengths 7.2896, 7.2896, 19.8813 Å; angles 90.00, 90.00, 120.00 degrees
Last column: nearest neighbours and their distance in Å.
Space group R-3c (No. 167, hexagonal axes)
One atom of each set of equivalent atoms:
1 Pu 0.0000 0.3491 0.2500 x18  4 Br 2.90-3.03
2 Br 0.0000 0.0000 0.1670 x12  6 Pu 2.90-3.03

## Properties
Its total energy is -9.5673 eV/atom. The density is 9.71 g cm⁻³.

---

No. 5
DFT (GGA-PBE) results for crystalline CsYCoTe3 at its relaxed geometry.

Cell lengths 4.2383, 17.7055, 11.0349 Å; angles 90.00, 90.00, 90.00 degrees
Last column: nearest neighbours and their distance in Å.
Space group Cmcm (No. 63)
One atom of each set of equivalent atoms:
1 Cs 0.0000 0.2403 0.2500 x4  6 Te 3.76-3.82
2 Y 0.0000 0.5000 0.0000 x4  6 Te 2.99-3.06
3 Co 0.0000 0.0161 0.7500 x4  4 Te 2.53-2.56
4 Te 0.0000 0.1136 0.5827 x8  1 Co 2.53
5 Te 0.0000 0.4348 0.7500 x4  2 Co 2.56

## Properties
The energy above the most stable polymorph in this dataset is 36.5 meV per atom. The density is 5.32 g cm⁻³.

---

No. 6
DFT (GGA-PBE) results for crystalline Sb2IrAu at its relaxed geometry.

Cell lengths 6.8961, 6.8961, 6.8961 Å; angles 90.00, 90.00, 90.00 degrees
Last column: nearest neighbours and their distance in Å.
Space group F-43m (No. 216)
One atom of each set of equivalent atoms:
1 Sb 0.0000 0.0000 0.0000 x4  4 Ir 2.99, 4 Sb 2.99
2 Sb 0.2500 0.2500 0.2500 x4  4 Sb 2.99, 4 Au 2.99
3 Ir 0.2500 0.2500 0.7500 x4  4 Sb 2.99, 4 Au 2.99
4 Au 0.0000 0.0000 0.5000 x4  4 Sb 2.99, 4 Ir 2.99

## Properties
Its total energy is -4.5872 eV/atom. The density is 12.81 g cm⁻³.

---

No. 7
DFT (GGA-PBE) results for crystalline KGdCdSe3 at its relaxed geometry.

Cell lengths 17.9764, 4.2401, 9.2776 Å; angles 90.00, 103.96, 90.00 degrees
Last column: nearest neighbours and their distance in Å.
Space group C2/m (No. 12)
One atom of each set of equivalent atoms:
1 K 0.1415 0.0000 0.0684 x4  7 Se 3.25-3.44
2 Gd 0.1727 0.0000 0.5881 x4  6 Se 2.86-3.01
3 Cd 0.0097 0.5000 0.7195 x4  4 Se 2.65-2.92
4 Se 0.0000 0.0000 0.5000 x2  4 Cd 2.92, 2 Gd 3.01
5 Se 0.0000 0.5000 0.0000 x2  2 Cd 2.65
6 Se 0.1639 0.5000 0.3678 x4  3 Gd 2.87-2.92, 1 Cd 3.03
7 Se 0.1675 0.5000 0.7930 x4  1 Cd 2.75, 2 Gd 2.86

## Properties
Its total energy is -4.1333 eV/atom. The density is 5.28 g cm⁻³.

---

No. 8
DFT (GGA-PBE) results for crystalline Ni3Bi2S2 at its relaxed geometry.

Cell lengths 8.0176, 8.0176, 8.0176 Å; angles 90.00, 90.00, 90.00 degrees
Last column: nearest neighbours and their distance in Å.
Space group I2_13 (No. 199)
One atom of each set of equivalent atoms:
1 Ni 0.0000 0.2500 0.2674 x12  2 S 2.18
2 Bi 0.0035 0.0035 0.0035 x8  6 Ni 2.74-2.90
3 S 0.2291 0.2709 0.7291 x8  3 Ni 2.18

## Properties
The energy above the most stable polymorph in this dataset is 0.0 meV per atom. The density is 8.48 g cm⁻³.

---

> Number 8 is which compound?

Ni3Bi2S2